This record from Alexandria via LeMat-Bulk describes crystalline Rb3Ca2CdCl9 at its relaxed geometry. The functional is PBE-GGA.

Cell: 7.6005 7.6005 9.3217 Å, 90.00 90.00 120.00°
Space group P-3m1 (No. 164)
Symmetry-distinct sites (fractional):
Rb1 0.0000 0.0000 0.0000 x1
Rb2 0.3333 0.6667 0.6628 x2
Ca1 0.3333 0.6667 0.1692 x2
Cd1 0.0000 0.0000 0.5000 x1
Cl1 0.0000 0.5000 0.0000 x3
Cl2 0.1645 0.3290 0.3368 x6

Computed properties:
The total energy is -0.1323 hartree per atom. The density of states at the Fermi level comes out at 0.0 states/eV/cell.


This record from Alexandria via LeMat-Bulk describes crystalline RbCa2CdCl at its relaxed geometry. The functional is PBE-GGA.

Cell: 5.563 5.563 7.025 Å, 90.00 90.00 90.00°
Space group P4/mmm (No. 123)
Symmetry-distinct sites (fractional):
Rb1 0.000 0.000 0.000 x1
Ca1 0.000 0.500 0.500 x2
Cd1 0.500 0.500 0.000 x1
Cl1 0.500 0.500 0.500 x1

Computed properties:
The total energy is -0.0713 hartree per atom. The density of states at the Fermi level comes out at 5.2 states/eV/cell.


This record from Alexandria via LeMat-Bulk describes crystalline CaCdSCl2 at its relaxed geometry. The functional is PBE-GGA.

Cell: 5.117 5.117 5.654 Å, 90.00 90.00 90.00°
Space group P4/mmm (No. 123)
Symmetry-distinct sites (fractional):
Ca1 0.000 0.000 0.000 x1
Cd1 0.500 0.500 0.500 x1
S1 0.000 0.000 0.500 x1
Cl1 0.000 0.500 0.000 x2

Computed properties:
The total energy is -0.1133 hartree per atom. The density of states at the Fermi level comes out at 2.9 states/eV/cell. The excess energy over the best structure of this formula in the dataset comes out at 12.7 kJ/mol of atoms.


This record from Alexandria via LeMat-Bulk describes crystalline CaCdSCl2 at its relaxed geometry. The functional is PBE-GGA.

Cell: 5.083 5.083 5.176 Å, 90.00 90.00 90.00°
Space group P4/mmm (No. 123)
Symmetry-distinct sites (fractional):
Ca1 0.000 0.000 0.000 x1
Cd1 0.500 0.500 0.500 x1
S1 0.500 0.500 0.000 x1
Cl1 0.000 0.500 0.500 x2

Computed properties:
The total energy is -0.1181 hartree per atom. The excess energy over the best structure of this formula in the dataset comes out at 0.0 kJ/mol of atoms.


This record from Alexandria via LeMat-Bulk describes crystalline CaCd2SnCl at its relaxed geometry. The functional is PBE-GGA.

Cell: 5.533 5.533 5.085 Å, 90.00 90.00 90.00°
Space group P4/mmm (No. 123)
Symmetry-distinct sites (fractional):
Ca1 0.000 0.000 0.000 x1
Cd1 0.000 0.500 0.500 x2
Sn1 0.500 0.500 0.000 x1
Cl1 0.000 0.000 0.500 x1

Computed properties:
The total energy is -0.0780 hartree per atom. The density of states at the Fermi level comes out at 3.0 states/eV/cell.


This record from Alexandria via LeMat-Bulk describes crystalline Ca2CdSnCl8 at its relaxed geometry. The functional is PBE-GGA.

Cell: 6.329 8.404 6.541 Å, 90.00 90.01 90.00°
Space group P2/m (No. 10)
Symmetry-distinct sites (fractional):
Ca1 0.000 0.243 0.000 x2
Cd1 0.500 0.000 0.500 x1
Sn1 0.500 0.500 0.500 x1
Cl1 0.216 0.500 0.161 x2
Cl2 0.227 0.000 0.177 x2
Cl3 0.278 0.234 0.670 x4

Computed properties:
The total energy is -0.1351 hartree per atom. The density of states at the Fermi level comes out at 0.0 states/eV/cell.


This record from Alexandria via LeMat-Bulk describes crystalline Sr2CaCdCl at its relaxed geometry. The functional is PBE-GGA.

Cell: 6.429 6.429 5.885 Å, 90.00 90.00 90.00°
Space group P4/mmm (No. 123)
Symmetry-distinct sites (fractional):
Sr1 0.000 0.500 0.000 x2
Ca1 0.000 0.000 0.500 x1
Cd1 0.500 0.500 0.000 x1
Cl1 0.500 0.500 0.500 x1

Computed properties:
The total energy is -0.0640 hartree per atom. The density of states at the Fermi level comes out at 3.2 states/eV/cell.


This record from Alexandria via LeMat-Bulk describes crystalline CaTl2CdCl6 at its relaxed geometry. The functional is PBE-GGA.

Cell: 7.543 7.543 5.395 Å, 90.00 90.00 90.00°
Space group P4mm (No. 99)
Symmetry-distinct sites (fractional):
Ca1 0.000 0.000 0.000 x1
Tl1 0.000 0.500 0.404 x2
Cd1 0.500 0.500 0.993 x1
Cl1 0.000 0.000 0.506 x1
Cl2 0.254 0.254 0.038 x4
Cl3 0.500 0.500 0.513 x1

Computed properties:
The total energy is -0.1214 hartree per atom. The density of states at the Fermi level comes out at 0.0 states/eV/cell.